Computed, not measured: LiAsO2 after structural relaxation at the GGA-PBE level of DFT.

Values from the calculation:
The total magnetic moment is 0.000 μB/atom. Its density of states at the Fermi level is 0.00 states/eV per cell. As for the space group: No. 166. The uncorrected formation energy is -1.063 eV per atom.

The structure in POSCAR format:
```
LiAsO2
1.0
1.611 0.930 5.812
-1.611 0.930 5.812
0.000 -1.861 5.812
Li As O
1 1 2
Direct
0.000 0.000 0.000
0.500 0.500 0.500
0.101 0.101 0.101
0.899 0.899 0.899
```

---

Computed, not measured: LiBAuF6 after structural relaxation at the GGA-PBE level of DFT.

Values from the calculation:
The total magnetic moment is 0.120 μB/atom. Its density of states at the Fermi level is 0.90 states/eV per cell. As for the space group: No. 1. The uncorrected formation energy is -2.149 eV per atom.

The structure in POSCAR format:
```
LiBAuF6
1.0
4.649 0.000 0.000
1.957 4.948 0.000
0.036 0.569 5.755
Li B Au F
1 1 1 6
Direct
0.000 0.000 0.000
0.650 0.592 0.961
0.483 0.015 0.497
0.112 0.117 0.690
0.413 0.736 0.109
0.524 0.495 0.788
0.779 0.786 0.852
0.857 0.917 0.306
0.888 0.383 0.089
```

---

Computed, not measured: U4GeC after structural relaxation at the GGA-PBE level of DFT.

Values from the calculation:
The total magnetic moment is 0.493 μB/atom. Its density of states at the Fermi level is 30.06 states/eV per cell. The energy of formation is 32 meV/atom. As for the space group: No. 15.

The structure in POSCAR format:
```
U4GeC
1.0
3.655 -6.177 0.000
3.655 6.177 0.000
-2.362 0.000 5.129
U Ge C
8 2 2
Direct
0.113 0.771 0.938
0.204 0.350 0.661
0.229 0.887 0.562
0.350 0.204 0.161
0.650 0.796 0.839
0.771 0.113 0.438
0.796 0.650 0.339
0.887 0.229 0.062
0.372 0.628 0.250
0.628 0.372 0.750
0.011 0.989 0.250
0.989 0.011 0.750
```

---

Computed, not measured: Pm2Er12Th5 after structural relaxation at the GGA-PBE level of DFT.

Values from the calculation:
The total magnetic moment is 0.000 μB/atom. Its density of states at the Fermi level is 29.74 states/eV per cell. The energy of formation is 216 meV/atom. As for the space group: No. 12.

The structure in POSCAR format:
```
Pm2Er12Th5
1.0
9.289 -3.518 0.000
9.289 3.518 0.000
-3.992 0.000 9.343
Pm Er Th
2 12 5
Direct
0.213 0.787 0.000
0.787 0.213 0.000
0.002 0.002 0.328
0.085 0.584 0.486
0.096 0.588 0.137
0.412 0.904 0.863
0.416 0.915 0.514
0.472 0.472 0.764
0.528 0.528 0.236
0.584 0.085 0.486
0.588 0.096 0.137
0.904 0.412 0.863
0.915 0.416 0.514
0.998 0.998 0.672
0.182 0.182 0.212
0.312 0.312 0.817
0.500 0.500 0.500
0.688 0.688 0.183
0.818 0.818 0.788
```

---

Computed, not measured: TbSiBOs2 after structural relaxation at the GGA-PBE level of DFT.

Values from the calculation:
The total magnetic moment is 0.000 μB/atom. Its density of states at the Fermi level is 7.85 states/eV per cell. As for the space group: No. 63. The uncorrected formation energy is -0.542 eV per atom.

The structure in POSCAR format:
```
TbSiBOs2
1.0
1.999 -5.548 0.000
1.999 5.548 0.000
0.000 0.000 7.157
Tb Si B Os
2 2 2 4
Direct
0.048 0.952 0.750
0.952 0.048 0.250
0.231 0.769 0.250
0.769 0.231 0.750
0.500 0.500 0.000
0.500 0.500 0.500
0.327 0.673 0.563
0.327 0.673 0.937
0.673 0.327 0.063
0.673 0.327 0.437
```

---

Computed, not measured: Tb6As2S3 after structural relaxation at the GGA-PBE level of DFT.

Values from the calculation:
The total magnetic moment is 0.000 μB/atom. Its density of states at the Fermi level is 6.33 states/eV per cell. As for the space group: No. 162. The uncorrected formation energy is -1.573 eV per atom.

The structure in POSCAR format:
```
Tb6As2S3
1.0
6.756 0.000 0.000
-3.378 5.851 0.000
0.000 0.000 6.788
Tb As S
6 2 3
Direct
0.000 0.331 0.253
0.000 0.669 0.747
0.331 0.000 0.253
0.331 0.331 0.747
0.669 0.000 0.747
0.669 0.669 0.253
0.333 0.667 0.000
0.667 0.333 0.000
0.000 0.000 0.000
0.333 0.667 0.500
0.667 0.333 0.500
```

---

Computed, not measured: Cs8Au4I after structural relaxation at the GGA-PBE level of DFT.

Values from the calculation:
The total magnetic moment is 0.006 μB/atom. Its density of states at the Fermi level is 8.69 states/eV per cell. As for the space group: No. 166. The uncorrected formation energy is -0.435 eV per atom.

The structure in POSCAR format:
```
Cs8Au4I
1.0
5.293 3.056 8.804
-5.293 3.056 8.804
0.000 -6.112 8.804
Cs Au I
8 4 1
Direct
0.238 0.744 0.744
0.245 0.245 0.245
0.256 0.256 0.762
0.256 0.762 0.256
0.744 0.238 0.744
0.744 0.744 0.238
0.755 0.755 0.755
0.762 0.256 0.256
0.000 0.000 0.500
0.000 0.500 0.000
0.500 0.000 0.000
0.500 0.500 0.500
0.000 0.000 0.000
```

---

Computed, not measured: CsRbB2Br8 after structural relaxation at the GGA-PBE level of DFT.

Values from the calculation:
The total magnetic moment is 0.000 μB/atom. Its density of states at the Fermi level is 0.00 states/eV per cell. As for the space group: No. 147. The uncorrected formation energy is -0.953 eV per atom.

The structure in POSCAR format:
```
CsRbB2Br8
1.0
6.815 0.000 0.000
-3.407 5.902 0.000
0.000 0.000 11.086
Cs Rb B Br
1 1 2 8
Direct
0.000 0.000 0.000
0.000 0.000 0.500
0.333 0.667 0.769
0.667 0.333 0.231
0.030 0.409 0.710
0.333 0.667 0.953
0.379 0.970 0.710
0.409 0.379 0.290
0.591 0.621 0.710
0.621 0.030 0.290
0.667 0.333 0.047
0.970 0.591 0.290
```